(1)
Compound: Mg2ScAs
Source: Alexandria via LeMat-Bulk
Functional: PBE-GGA
Structure: relaxed

## Properties
The value obtained for the formation energy is -502 meV per atom.

Lattice parameters (Å, degrees): 3.8202 3.7227 6.4352 90.00 107.18 90.00
With the nearest neighbours (Å) after each atom.
Space group Pm (No. 6)
One atom of each set of equivalent atoms:
Mg1 0.0000 0.0000 0.0000  2 As 2.75, 4 Mg 3.03
Mg2 0.3846 0.5000 0.7662  1 As 2.68
Sc1 0.7287 0.0000 0.4549  4 As 2.77-2.78
As1 0.1654 0.5000 0.3296  3 Mg 2.68-2.75, 4 Sc 2.77-2.78


(2)
Compound: BaCo2Ni
Source: Alexandria via LeMat-Bulk
Functional: PBE-GGA
Structure: relaxed

## Properties
The energy above the lowest structure with this stoichiometry comes out at 3.34 eV/f.u. The value obtained for the formation energy is 990 meV per atom.

Lattice parameters (Å, degrees): 5.3921 9.6744 3.2054 90.00 122.15 90.00
With the nearest neighbours (Å) after each atom.
Space group C2/m (No. 12)
One atom of each set of equivalent atoms:
Ba1 0.0000 0.0000 0.0000  4 Ni 2.70-2.89, 4 Co 2.82
Co1 0.2500 0.2500 0.5000  4 Co 2.70-2.89, 2 Ba 2.82, 2 Ni 2.82
Ni1 0.0000 0.5000 0.0000  4 Ba 2.70-2.89, 4 Co 2.82


(3)
Compound: KZnSi2Pd
Source: Alexandria via LeMat-Bulk
Functional: PBE-GGA
Structure: relaxed

## Properties
As for the uncorrected formation energy: 19.11 kcal/mol of atoms.

Lattice parameters (Å, degrees): 4.6568 4.6568 5.4609 90.00 90.00 90.00
With the nearest neighbours (Å) after each atom.
Space group P4/mmm (No. 123)
One atom of each set of equivalent atoms:
K1 0.0000 0.0000 0.0000  2 Zn 2.73
Zn1 0.0000 0.0000 0.5000  4 Si 2.33
Si1 0.0000 0.5000 0.5000  2 Zn 2.33
Pd1 0.5000 0.5000 0.0000  4 K 3.29, 8 Si 3.59


(4)
Compound: PrNd4Tm7
Source: Alexandria via LeMat-Bulk
Functional: PBE-GGA
Structure: relaxed

## Properties
The energy above the lowest structure with this stoichiometry comes out at 0.00 eV/f.u. The value obtained for the formation energy is 14 meV per atom.

Lattice parameters (Å, degrees): 6.2520 7.2008 8.8802 90.09 103.66 90.05
With the nearest neighbours (Å) after each atom.
Space group P-1 (No. 2)
One atom of each set of equivalent atoms:
Pr1 0.0000 0.0000 0.0000  10 Tm 3.53-3.60, 2 Nd 3.56
Nd1 0.2228 0.4997 0.6689  8 Tm 3.53-3.62, 4 Nd 3.56-3.61
Nd2 0.2794 0.7512 0.3356  8 Tm 3.54-3.62, 3 Nd 3.56-3.61, 1 Pr 3.56
Tm1 0.0000 0.5000 0.0000  4 Nd 3.54-3.57, 6 Tm 3.55-3.62, 2 Pr 3.60
Tm2 0.2215 0.9996 0.6676  6 Tm 3.53-3.60, 5 Nd 3.54-3.61, 1 Pr 3.54
Tm3 0.2773 0.2479 0.3318  1 Pr 3.53, 5 Tm 3.53-3.60, 6 Nd 3.54-3.62
Tm4 0.4994 0.2474 0.0012  7 Tm 3.53-3.64, 3 Nd 3.53-3.58, 2 Pr 3.59-3.60


(5)
Compound: Li4Mg15Sc
Source: Alexandria via LeMat-Bulk
Functional: PBE-GGA
Structure: relaxed

## Properties
The value obtained for the formation energy is -35 meV per atom.

Lattice parameters (Å, degrees): 4.4544 4.4544 22.2804 90.00 90.00 90.00
With the nearest neighbours (Å) after each atom.
Space group P4/mmm (No. 123)
One atom of each set of equivalent atoms:
Li1 0.0000 0.0000 0.0974  12 Mg 3.11-3.15
Li2 0.0000 0.0000 0.2992  12 Mg 3.12-3.18
Mg1 0.0000 0.5000 0.0000  4 Li 3.11, 8 Mg 3.13-3.15
Mg2 0.0000 0.5000 0.1976  8 Mg 3.11-3.15, 4 Li 3.15-3.18
Mg3 0.0000 0.5000 0.3971  2 Li 3.12, 8 Mg 3.15-3.20, 2 Sc 3.20
Mg4 0.5000 0.5000 0.0989  8 Mg 3.13, 4 Li 3.15
Mg5 0.5000 0.5000 0.2950  8 Mg 3.11-3.18, 4 Li 3.15
Mg6 0.5000 0.5000 0.5000  4 Sc 3.15, 8 Mg 3.20
Sc1 0.0000 0.0000 0.5000  12 Mg 3.15-3.20


(6)
Compound: CeNdCl2
Source: Alexandria via LeMat-Bulk
Functional: PBE-GGA
Structure: relaxed

## Properties
As for the uncorrected formation energy: -30.14 kcal/mol of atoms.

Lattice parameters (Å, degrees): 3.6507 3.6507 29.2210 90.00 90.00 120.00
With the nearest neighbours (Å) after each atom.
Space group R-3m (No. 166, hexagonal axes)
One atom of each set of equivalent atoms:
Ce1 0.0000 0.0000 0.0000  6 Cl 2.92
Nd1 0.0000 0.0000 0.5000  2 Cl 2.84
Cl1 0.0000 0.0000 0.4027  1 Nd 2.84, 3 Ce 2.92


(7)
Compound: ScW4
Source: Alexandria via LeMat-Bulk
Functional: PBE-GGA
Structure: relaxed

## Properties
The energy above the lowest structure with this stoichiometry comes out at 12.29 eV/f.u. The value obtained for the formation energy is 2566 meV per atom.

Lattice parameters (Å, degrees): 4.5350 4.5350 4.5350 90.00 90.00 90.00
With the nearest neighbours (Å) after each atom.
Space group Pm-3m (No. 221)
One atom of each set of equivalent atoms:
Sc1 0.0000 0.0000 0.0000  6 W 2.27
W1 0.0000 0.0000 0.5000  2 Sc 2.27
W2 0.5000 0.5000 0.5000  12 W 3.21


(8)
Compound: KErCdSe3
Source: Alexandria via LeMat-Bulk
Functional: PBE-GGA
Structure: relaxed

## Properties
As for the uncorrected formation energy: -30.60 kcal/mol of atoms.

Lattice parameters (Å, degrees): 8.9211 4.2370 10.2244 90.00 107.70 90.00
With the nearest neighbours (Å) after each atom.
Space group P2_1/m (No. 11)
One atom of each set of equivalent atoms:
K1 0.2129 0.2500 0.2309  5 Se 3.34-3.51
Er1 0.3304 0.7500 0.8653  6 Se 2.79-3.11
Cd1 0.0846 0.2500 0.6101  4 Se 2.61-2.81
Se1 0.1099 0.2500 0.8713  1 Cd 2.61, 2 Er 2.90
Se2 0.2345 0.7500 0.5465  3 Cd 2.69-2.81
Se3 0.4611 0.7500 0.1508  3 Er 2.79-2.86


(9)
Compound: ScV2Ir2
Source: Alexandria via LeMat-Bulk
Functional: PBE-GGA
Structure: relaxed

## Properties
The energy above the lowest structure with this stoichiometry comes out at 0.00 eV/f.u. The value obtained for the formation energy is -475 meV per atom.

Lattice parameters (Å, degrees): 4.1232 4.1232 10.2695 90.00 90.00 90.00
With the nearest neighbours (Å) after each atom.
Space group I4/mmm (No. 139)
One atom of each set of equivalent atoms:
Sc1 0.0000 0.0000 0.0000  8 Ir 3.18, 8 V 3.29
V1 0.0000 0.5000 0.2500  4 Ir 2.44
Ir1 0.0000 0.0000 0.3768  4 V 2.44, 1 Ir 2.53


(10)
Compound: CrMo2Br
Source: Alexandria via LeMat-Bulk
Functional: PBE-GGA
Structure: relaxed

## Properties
The energy above the lowest structure with this stoichiometry comes out at 0.00 eV/f.u. As for the uncorrected formation energy: 11.36 kcal/mol of atoms.

Lattice parameters (Å, degrees): 2.9919 2.9919 7.0164 90.00 90.00 90.00
With the nearest neighbours (Å) after each atom.
Space group P4/mmm (No. 123)
One atom of each set of equivalent atoms:
Cr1 0.0000 0.0000 0.0000  8 Mo 2.60
Mo1 0.5000 0.5000 0.2160  4 Cr 2.60, 4 Br 2.91
Br1 0.0000 0.0000 0.5000  8 Mo 2.91, 4 Br 2.99


(11)
Compound: ZnAs3F
Source: Alexandria via LeMat-Bulk
Functional: PBE-GGA
Structure: relaxed

## Properties
The energy above the lowest structure with this stoichiometry comes out at 0.00 eV/f.u. As for the uncorrected formation energy: 9.09 kcal/mol of atoms.

Lattice parameters (Å, degrees): 4.5683 4.5683 4.5683 90.00 90.00 90.00
With the nearest neighbours (Å) after each atom.
Space group Pm-3m (No. 221)
One atom of each set of equivalent atoms:
Zn1 0.0000 0.0000 0.0000  12 As 3.23
As1 0.0000 0.5000 0.5000  2 F 2.28
F1 0.5000 0.5000 0.5000  6 As 2.28


(12)
Compound: Cd3HgAs
Source: Alexandria via LeMat-Bulk
Functional: PBE-GGA
Structure: relaxed

## Properties
The energy above the lowest structure with this stoichiometry comes out at 0.00 eV/f.u. The value obtained for the formation energy is 209 meV per atom.

Lattice parameters (Å, degrees): 5.3950 5.3950 5.3950 90.00 90.00 90.00
With the nearest neighbours (Å) after each atom.
Space group Pm-3m (No. 221)
One atom of each set of equivalent atoms:
Cd1 0.0000 0.0000 0.5000  2 As 2.70
Hg1 0.5000 0.5000 0.5000  12 Cd 3.81
As1 0.0000 0.0000 0.0000  6 Cd 2.70


(13)
Compound: Zr2SiSn
Source: Alexandria via LeMat-Bulk
Functional: PBE-GGA
Structure: relaxed

## Properties
The energy above the lowest structure with this stoichiometry comes out at 0.00 eV/f.u. As for the uncorrected formation energy: -12.36 kcal/mol of atoms.

Lattice parameters (Å, degrees): 3.7496 3.7496 21.8206 90.00 90.00 120.00
With the nearest neighbours (Å) after each atom.
Space group R-3m (No. 166, hexagonal axes)
One atom of each set of equivalent atoms:
Zr1 0.0000 0.0000 0.2369  3 Si 2.65
Si1 0.0000 0.0000 0.5000  6 Zr 2.65
Sn1 0.0000 0.0000 0.0000  6 Zr 3.02


(14)
Compound: Tl2RuCl
Source: Alexandria via LeMat-Bulk
Functional: PBE-GGA
Structure: relaxed

## Properties
The energy above the lowest structure with this stoichiometry comes out at 1.21 eV/f.u. As for the uncorrected formation energy: 10.72 kcal/mol of atoms.

Lattice parameters (Å, degrees): 6.3466 6.3466 13.8195 90.00 90.00 90.00
With the nearest neighbours (Å) after each atom.
Space group I-42d (No. 122)
One atom of each set of equivalent atoms:
Tl1 0.1912 0.2500 0.1250  2 Ru 2.64
Ru1 0.0000 0.0000 0.0000  4 Tl 2.64
Cl1 0.0000 0.0000 0.5000  4 Tl 3.06


(15)
Compound: TaTiC
Source: Alexandria via LeMat-Bulk
Functional: PBE-GGA
Structure: relaxed

## Properties
The energy above the lowest structure with this stoichiometry comes out at 1.30 eV/f.u. The value obtained for the formation energy is -145 meV per atom.

Lattice parameters (Å, degrees): 3.0307 3.0307 15.6230 90.00 90.00 120.00
With the nearest neighbours (Å) after each atom.
Space group R3m (No. 160, hexagonal axes)
One atom of each set of equivalent atoms:
Ta1 0.0000 0.0000 0.0000  3 C 2.26
Ti1 0.0000 0.0000 0.8269  3 C 2.16
C1 0.0000 0.0000 0.5748  3 Ti 2.16, 3 Ta 2.26


(16)
Compound: VAgRhAu2
Source: Alexandria via LeMat-Bulk
Functional: PBE-GGA
Structure: relaxed

## Properties
The value obtained for the formation energy is 1584 meV per atom.

Lattice parameters (Å, degrees): 4.9561 4.9561 4.6502 90.00 90.00 90.00
With the nearest neighbours (Å) after each atom.
Space group P4/mmm (No. 123)
One atom of each set of equivalent atoms:
V1 0.0000 0.0000 0.0000  2 Ag 2.33
Ag1 0.0000 0.0000 0.5000  2 V 2.33, 4 Au 2.48
Rh1 0.5000 0.5000 0.0000  8 Au 3.40, 4 V 3.50
Au1 0.0000 0.5000 0.5000  2 Ag 2.48


(17)
Compound: PmPr2NdTm4
Source: Alexandria via LeMat-Bulk
Functional: PBE-GGA
Structure: relaxed

## Properties
The value obtained for the formation energy is 405 meV per atom.

Lattice parameters (Å, degrees): 6.7888 11.9132 13.2520 90.00 90.00 90.00
With the nearest neighbours (Å) after each atom.
Space group Imma (No. 74)
One atom of each set of equivalent atoms:
Pm1 0.2500 0.2500 0.2500  6 Tm 3.29-3.41, 2 Pm 3.39
Pr1 0.0000 0.0000 0.0000  6 Tm 3.31-3.43, 2 Nd 3.39
Pr2 0.2500 0.2500 0.7500  6 Tm 3.33-3.45, 2 Pr 3.39
Nd1 0.0000 0.0000 0.5000  6 Tm 3.31-3.43, 2 Pr 3.39
Tm1 0.0000 0.0016 0.2501  1 Nd 3.31, 3 Pr 3.31-3.45, 2 Tm 3.39, 2 Pm 3.41
Tm2 0.2501 0.2500 0.0014  1 Pm 3.29, 3 Pr 3.33-3.43, 2 Tm 3.39-3.40, 2 Nd 3.43


(18)
Compound: SbAs2Pt
Source: Alexandria via LeMat-Bulk
Functional: PBE-GGA
Structure: relaxed

## Properties
As for the uncorrected formation energy: 0.57 kcal/mol of atoms.

Lattice parameters (Å, degrees): 3.6622 4.1212 11.4059 90.00 90.00 90.00
With the nearest neighbours (Å) after each atom.
Space group Imm2 (No. 44)
One atom of each set of equivalent atoms:
Sb1 0.0000 0.0000 0.0000  2 Pt 2.79, 2 As 2.99
As1 0.0000 0.0000 0.3504  2 Pt 2.63, 2 As 2.76
As2 0.0000 0.5000 0.1898  2 As 2.76, 4 Pt 2.76, 2 Sb 2.99
Pt1 0.0000 0.5000 0.6845  6 As 2.63-2.76, 2 Sb 2.79


(19)
Compound: PuPaNb2
Source: Alexandria via LeMat-Bulk
Functional: PBE-GGA
Structure: relaxed

## Properties
The energy above the lowest structure with this stoichiometry comes out at 0.10 eV/f.u. The value obtained for the formation energy is 332 meV per atom.

Lattice parameters (Å, degrees): 3.4815 3.4815 7.3389 90.00 90.00 90.00
With the nearest neighbours (Å) after each atom.
Space group P4/mmm (No. 123)
One atom of each set of equivalent atoms:
Pu1 0.0000 0.0000 0.0000  8 Nb 3.21, 4 Pu 3.48
Pa1 0.0000 0.0000 0.5000  8 Nb 2.94
Nb1 0.5000 0.5000 0.2801  4 Pa 2.94, 4 Pu 3.21, 1 Nb 3.23


(20)
Compound: Ca2ScTeF
Source: Alexandria via LeMat-Bulk
Functional: PBE-GGA
Structure: relaxed

## Properties
As for the uncorrected formation energy: -8.69 kcal/mol of atoms.

Lattice parameters (Å, degrees): 6.1955 6.1955 5.2866 90.00 90.00 90.00
With the nearest neighbours (Å) after each atom.
Space group P4/mmm (No. 123)
One atom of each set of equivalent atoms:
Ca1 0.0000 0.5000 0.0000  2 Sc 3.10
Sc1 0.0000 0.0000 0.0000  2 Te 2.64
Te1 0.0000 0.0000 0.5000  2 Sc 2.64
F1 0.5000 0.5000 0.5000  8 Ca 4.07, 4 Te 4.38


Number 1: volume 87.43 Å³/f.u., raw total energy -16.18 eV/f.u.. Number 2: volume 70.79 Å³/f.u., raw total energy -17.96 eV/f.u.. Number 3: volume 118.43 Å³/f.u., raw total energy -14.27 eV/f.u.. Number 4: volume 388.46 Å³/f.u., raw total energy -54.98 eV/f.u.. Number 5: volume 442.08 Å³/f.u., raw total energy -38.61 eV/f.u.. Number 6: volume 112.42 Å³/f.u., raw total energy -19.62 eV/f.u.. Number 7: volume 93.26 Å³/f.u., raw total energy -45.31 eV/f.u.. Number 8: volume 184.08 Å³/f.u., raw total energy -24.99 eV/f.u.. Number 9: volume 87.30 Å³/f.u., raw total energy -44.66 eV/f.u.. Number 10: volume 62.81 Å³/f.u., raw total energy -30.99 eV/f.u.. Number 11: volume 95.34 Å³/f.u., raw total energy -15.12 eV/f.u.. Number 12: volume 157.03 Å³/f.u., raw total energy -6.65 eV/f.u.. Number 13: volume 88.56 Å³/f.u., raw total energy -28.67 eV/f.u.. Number 14: volume 139.16 Å³/f.u., raw total energy -14.00 eV/f.u.. Number 15: volume 41.42 Å³/f.u., raw total energy -29.41 eV/f.u.. Number 16: volume 114.22 Å³/f.u., raw total energy -17.96 eV/f.u.. Number 17: volume 267.94 Å³/f.u., raw total energy -33.72 eV/f.u.. Number 18: volume 86.07 Å³/f.u., raw total energy -19.36 eV/f.u.. Number 19: volume 88.95 Å³/f.u., raw total energy -42.64 eV/f.u.. Number 20: volume 202.92 Å³/f.u., raw total energy -17.23 eV/f.u..